A plane-wave DFT calculation with GGA-PBE was carried out for a geometry-optimized TbPmZn6 structure.

a = 4.4150 Å, b = 6.5972 Å, c = 10.6690 Å
α = 90.00°, β = 90.00°, γ = 90.00°
Last column: nearest neighbours and their distance in Å.
Space group Amm2 (No. 38)
One atom of each set of equivalent atoms:
Tb 0.0000 0.0000 0.0000 [2 per cell]  12 Zn 3.00-3.30
Pm 0.5000 0.0000 0.6970 [2 per cell]  12 Zn 3.03-3.30
Zn 0.0000 0.0000 0.5020 [2 per cell]  6 Zn 2.71-2.84
Zn 0.0000 0.2040 0.2676 [4 per cell]  6 Zn 2.69-2.84
Zn 0.5000 0.0000 0.1909 [2 per cell]  6 Zn 2.71-2.89, 2 Tb 3.00
Zn 0.5000 0.2070 0.4300 [4 per cell]  6 Zn 2.71-2.89, 2 Tb 3.03

Output
DFT formation energy ... -0.310 eV/atom
Crystal system ... orthorhombic

A plane-wave DFT calculation with GGA-PBE was carried out for a geometry-optimized TiHO structure.

a = 4.1251 Å, b = 4.1251 Å, c = 3.7299 Å
α = 90.00°, β = 90.00°, γ = 90.00°
Last column: nearest neighbours and their distance in Å.
Space group P4/nmm (No. 129, origin choice 2)
One atom of each set of equivalent atoms:
Ti 0.2500 0.2500 0.0584 [2 per cell]  2 O 1.80-1.93
H 0.2500 0.7500 0.0000 [2 per cell]  4 Ti 2.07
O 0.2500 0.2500 0.5753 [2 per cell]  2 Ti 1.80-1.93

Output
Polymorph energy (0 for the lowest one) ... 369 meV per atom
Crystal system ... tetragonal

A plane-wave DFT calculation with GGA-PBE was carried out for a geometry-optimized Pm2Zn16Cd structure.

a = 9.0960 Å, b = 9.0960 Å, c = 13.3145 Å
α = 90.00°, β = 90.00°, γ = 120.00°
Last column: nearest neighbours and their distance in Å.
Space group R3m (No. 160, hexagonal axes)
One atom of each set of equivalent atoms:
Pm 0.0000 0.0000 0.0000 [3 per cell]  16 Zn 3.07-3.43
Pm 0.0000 0.0000 0.3239 [3 per cell]  18 Zn 3.21-3.53, 1 Cd 3.21
Zn 0.0000 0.0000 0.7694 [3 per cell]  6 Zn 2.69-2.87, 1 Cd 2.72
Zn 0.9998 0.2974 0.6634 [18 per cell]  8 Zn 2.61-2.79
Zn 0.0125 0.5062 0.8160 [9 per cell]  8 Zn 2.56-2.79
Zn 0.1701 0.3402 0.4964 [9 per cell]  9 Zn 2.61-2.71, 1 Cd 2.83
Zn 0.1714 0.3429 0.8431 [9 per cell]  8 Zn 2.56-2.77
Cd 0.0000 0.0000 0.5650 [3 per cell]  13 Zn 2.72-3.01

Output
DFT formation energy ... -0.245 eV/atom
Crystal system ... trigonal

A plane-wave DFT calculation with GGA-PBE was carried out for a geometry-optimized Ba2CdIrN structure.

a = 5.9441 Å, b = 5.9441 Å, c = 3.8223 Å
α = 90.00°, β = 90.00°, γ = 90.00°
Last column: nearest neighbours and their distance in Å.
Space group P4/mmm (No. 123)
One atom of each set of equivalent atoms:
Ba 0.0000 0.5000 0.0000 [2 per cell]  2 N 2.97
Cd 0.0000 0.0000 0.5000 [1 per cell]  8 Ba 3.53, 2 Cd 3.82
Ir 0.5000 0.5000 0.5000 [1 per cell]  2 N 1.91
N 0.5000 0.5000 0.0000 [1 per cell]  2 Ir 1.91

Output
Crystal system ... tetragonal

A plane-wave DFT calculation with GGA-PBE was carried out for a geometry-optimized Re2PSe structure.

a = 3.9807 Å, b = 3.9807 Å, c = 7.5900 Å
α = 90.00°, β = 90.00°, γ = 90.00°
Last column: nearest neighbours and their distance in Å.
Space group I-4m2 (No. 119)
One atom of each set of equivalent atoms:
Re 0.0000 0.0000 0.0000 [2 per cell]  4 Se 2.75, 4 Re 2.75, 4 P 2.81
Re 0.0000 0.5000 0.2500 [2 per cell]  4 Re 2.75, 4 P 2.75, 4 Se 2.81
P 0.0000 0.0000 0.5000 [2 per cell]  4 Se 2.75, 8 Re 2.75-2.81
Se 0.0000 0.5000 0.7500 [2 per cell]  8 Re 2.75-2.81, 4 P 2.75

Output
Polymorph energy (0 for the lowest one) ... 665 meV per atom
Crystal system ... tetragonal

A plane-wave DFT calculation with GGA-PBE was carried out for a geometry-optimized LaEr2Zn9 structure.

a = 5.4939 Å, b = 5.4939 Å, c = 25.7691 Å
α = 90.00°, β = 90.00°, γ = 120.00°
Last column: nearest neighbours and their distance in Å.
Space group R-3m (No. 166, hexagonal axes)
One atom of each set of equivalent atoms:
La 0.0000 0.0000 0.0000 [3 per cell]  18 Zn 3.17-3.50
Er 0.0000 0.0000 0.1421 [6 per cell]  12 Zn 3.13-3.23, 3 Er 3.42
Zn 0.0000 0.0000 0.3353 [6 per cell]  6 Zn 2.67-2.71
Zn 0.0000 0.0000 0.5000 [3 per cell]  6 Zn 2.68
Zn 0.0076 0.5038 0.9159 [18 per cell]  7 Zn 2.67-2.81

Output
DFT formation energy ... -0.325 eV/atom
Crystal system ... trigonal

Number 1: E_tot -19.5 eV/f.u.. Number 2: E_tot -20.2 eV/f.u.. Number 3: E_tot -35.4 eV/f.u.. Number 4: E_tot -24.1 eV/f.u.. Number 5: E_tot -31.0 eV/f.u.. Number 6: E_tot -29.4 eV/f.u..